## K2Mn3F8 (PBE with a Hubbard U)

Data for a relaxed K2Mn3F8 crystal.

- SG = C2/m
- total energy (eV/atom) = -5.780
- Fermi-level density of states (states/eV/cell) = 0.0

abc: 5.673 6.725 7.118
angles: 118.19 107.62 90.00
Last column: magnetic moment on the atom in μB.
Fractional coordinates of all 13 atoms:
1 K 0.336 0.279 0.558  0.00
2 K 0.664 0.721 0.442  0.00
3 Mn 0.500 0.000 0.000  4.69
4 Mn 0.000 0.259 0.000  4.69
5 Mn 0.000 0.741 0.000  4.69
6 F 0.964 0.603 0.205  0.05
7 F 0.036 0.397 0.795  0.05
8 F 0.906 0.092 0.184  0.05
9 F 0.094 0.908 0.816  0.05
10 F 0.614 0.687 0.806  0.04
11 F 0.614 0.119 0.806  0.04
12 F 0.386 0.881 0.194  0.04
13 F 0.386 0.313 0.194  0.04